# 1
VASP calculation (meta-GGA SCAN) on a PBEsol-optimized structure of Er3ScS6. Values from VASP.

Structure (Quantum ESPRESSO input):
```
&SYSTEM
  ibrav = 0, nat = 20, ntyp = 3
/
ATOMIC_SPECIES
Er 167.26 Er.upf
Sc 44.96 Sc.upf
S 32.06 S.upf
CELL_PARAMETERS angstrom
10.6749 0.0000 0.0000
0.0000 3.7967 0.0000
-3.5280 0.0000 10.4020
ATOMIC_POSITIONS crystal
Er 0.0771 0.2500 0.1690
Er 0.1831 0.7500 0.5042
Er 0.3404 0.2500 0.9196
Er 0.6596 0.7500 0.0804
Er 0.8169 0.2500 0.4958
Er 0.9229 0.7500 0.8310
Sc 0.4606 0.2500 0.3142
Sc 0.5394 0.7500 0.6858
S 0.0192 0.2500 0.3830
S 0.0989 0.2500 0.9318
S 0.2567 0.7500 0.2832
S 0.3159 0.7500 0.7492
S 0.3953 0.2500 0.5369
S 0.4166 0.7500 0.1022
S 0.5834 0.2500 0.8978
S 0.6047 0.7500 0.4631
S 0.6841 0.2500 0.2508
S 0.7433 0.2500 0.7168
S 0.9011 0.7500 0.0682
S 0.9808 0.7500 0.6170
```

Properties
As for the volume: 422 Å³/cell. The calculation puts the spin magnetization at 0.0 μB per cell. The value obtained for the uncorrected formation energy is -2.24 eV per atom.

# 2
VASP calculation (meta-GGA SCAN) on a PBEsol-optimized structure of Er2TeS2. Values from VASP.

Structure (Quantum ESPRESSO input):
```
&SYSTEM
  ibrav = 0, nat = 5, ntyp = 3
/
ATOMIC_SPECIES
Er 167.26 Er.upf
Te 127.60 Te.upf
S 32.06 S.upf
CELL_PARAMETERS angstrom
-2.0348 2.6345 6.5721
2.0348 -2.6345 6.5721
2.0348 2.6345 -6.5721
ATOMIC_POSITIONS crystal
Er 0.1681 0.1681 0.0000
Er 0.8319 0.8319 0.0000
Te 0.0000 0.5000 0.5000
S 0.3000 0.8000 0.5000
S 0.7000 0.2000 0.5000
```

Properties
For the density of states at the Fermi level, the calculation gives 0.000 states/eV per atom. As for the volume: 141 Å³/cell. The calculation puts the spin magnetization at 0.0 μB per cell. The value obtained for the uncorrected formation energy is -2.08 eV per atom.

# 3
VASP calculation (meta-GGA SCAN) on a PBEsol-optimized structure of ErTlS2. Values from VASP.

Structure (Quantum ESPRESSO input):
```
&SYSTEM
  ibrav = 0, nat = 4, ntyp = 3
/
ATOMIC_SPECIES
Er 167.26 Er.upf
Tl 204.38 Tl.upf
S 32.06 S.upf
CELL_PARAMETERS angstrom
1.9566 1.1296 7.3732
-1.9566 1.1296 7.3732
0.0000 -2.2593 7.3732
ATOMIC_POSITIONS crystal
Er 0.0000 0.0000 0.0000
Tl 0.5000 0.5000 0.5000
S 0.2667 0.2667 0.2667
S 0.7333 0.7333 0.7333
```

Properties
For the density of states at the Fermi level, the calculation gives 0.000 states/eV per atom. As for the volume: 98 Å³/cell. The calculation puts the spin magnetization at 0.0 μB per cell. The value obtained for the uncorrected formation energy is -1.68 eV per atom.

# 4
VASP calculation (meta-GGA SCAN) on a PBEsol-optimized structure of Er4Sb3. Values from VASP.

Structure (Quantum ESPRESSO input):
```
&SYSTEM
  ibrav = 0, nat = 14, ntyp = 2
/
ATOMIC_SPECIES
Er 167.26 Er.upf
Sb 121.76 Sb.upf
CELL_PARAMETERS angstrom
-4.4871 4.4871 4.4871
4.4871 -4.4871 4.4871
4.4871 4.4871 -4.4871
ATOMIC_POSITIONS crystal
Er 0.0000 0.1463 0.5000
Er 0.0000 0.6463 0.5000
Er 0.1463 0.5000 0.0000
Er 0.3537 0.3537 0.3537
Er 0.5000 0.0000 0.1463
Er 0.5000 0.0000 0.6463
Er 0.6463 0.5000 0.0000
Er 0.8537 0.8537 0.8537
Sb 0.1250 0.8750 0.2500
Sb 0.2500 0.1250 0.8750
Sb 0.3750 0.6250 0.7500
Sb 0.6250 0.7500 0.3750
Sb 0.7500 0.3750 0.6250
Sb 0.8750 0.2500 0.1250
```

Properties
For the density of states at the Fermi level, the calculation gives 0.858 states/eV per atom. As for the volume: 361 Å³/cell. The calculation puts the spin magnetization at 0.0 μB per cell. The value obtained for the uncorrected formation energy is -1.03 eV per atom.

# 5
VASP calculation (meta-GGA SCAN) on a PBEsol-optimized structure of Er5Si2Sb2. Values from VASP.

Structure (Quantum ESPRESSO input):
```
&SYSTEM
  ibrav = 0, nat = 18, ntyp = 3
/
ATOMIC_SPECIES
Er 167.26 Er.upf
Si 28.09 Si.upf
Sb 121.76 Sb.upf
CELL_PARAMETERS angstrom
7.3888 -3.8264 0.0000
7.3888 3.8264 0.0000
0.0000 0.0000 7.6733
ATOMIC_POSITIONS crystal
Er 0.0000 0.0000 0.0000
Er 0.0428 0.7043 0.6691
Er 0.2043 0.5428 0.1691
Er 0.2957 0.9572 0.6691
Er 0.4572 0.7957 0.1691
Er 0.5000 0.5000 0.5000
Er 0.5428 0.2043 0.8309
Er 0.7043 0.0428 0.3309
Er 0.7957 0.4572 0.8309
Er 0.9572 0.2957 0.3309
Si 0.1269 0.8731 0.3738
Si 0.3731 0.6269 0.8738
Si 0.6269 0.3731 0.1262
Si 0.8731 0.1269 0.6262
Sb 0.2068 0.2068 0.0000
Sb 0.2932 0.2932 0.5000
Sb 0.7068 0.7068 0.5000
Sb 0.7932 0.7932 0.0000
```

Properties
For the density of states at the Fermi level, the calculation gives 0.601 states/eV per atom. As for the volume: 434 Å³/cell. The calculation puts the spin magnetization at 0.0 μB per cell. The value obtained for the uncorrected formation energy is -0.97 eV per atom.

# 6
VASP calculation (meta-GGA SCAN) on a PBEsol-optimized structure of SmEr3Se6. Values from VASP.

Structure (Quantum ESPRESSO input):
```
&SYSTEM
  ibrav = 0, nat = 20, ntyp = 3
/
ATOMIC_SPECIES
Sm 150.36 Sm.upf
Er 167.26 Er.upf
Se 78.96 Se.upf
CELL_PARAMETERS angstrom
11.3423 0.0000 0.0000
0.0000 4.0254 0.0000
-3.8360 0.0000 11.0086
ATOMIC_POSITIONS crystal
Sm 0.0468 0.2500 0.1957
Sm 0.9532 0.7500 0.8043
Er 0.1585 0.2500 0.5841
Er 0.3188 0.7500 0.9990
Er 0.4363 0.2500 0.3332
Er 0.5637 0.7500 0.6668
Er 0.6812 0.2500 0.0010
Er 0.8415 0.7500 0.4159
Se 0.0844 0.7500 0.4034
Se 0.1161 0.2500 0.9662
Se 0.1957 0.7500 0.7503
Se 0.2581 0.7500 0.2249
Se 0.3932 0.2500 0.5593
Se 0.4830 0.2500 0.1160
Se 0.5170 0.7500 0.8840
Se 0.6068 0.7500 0.4407
Se 0.7419 0.2500 0.7751
Se 0.8043 0.2500 0.2497
Se 0.8839 0.7500 0.0338
Se 0.9156 0.2500 0.5966
```

Properties
As for the volume: 503 Å³/cell. The calculation puts the spin magnetization at 0.0 μB per cell. The value obtained for the uncorrected formation energy is -2.11 eV per atom.

# 7
VASP calculation (meta-GGA SCAN) on a PBEsol-optimized structure of SrEr2Se4. Values from VASP.

Structure (Quantum ESPRESSO input):
```
&SYSTEM
  ibrav = 0, nat = 28, ntyp = 3
/
ATOMIC_SPECIES
Sr 87.62 Sr.upf
Er 167.26 Er.upf
Se 78.96 Se.upf
CELL_PARAMETERS angstrom
12.3475 0.0000 0.0000
0.0000 4.0628 0.0000
0.0000 0.0000 14.7045
ATOMIC_POSITIONS crystal
Sr 0.2403 0.2500 0.1659
Sr 0.2597 0.7500 0.6659
Sr 0.7403 0.2500 0.3341
Sr 0.7597 0.7500 0.8341
Er 0.0638 0.2500 0.3903
Er 0.0819 0.2500 0.9021
Er 0.4181 0.7500 0.4021
Er 0.4362 0.7500 0.8903
Er 0.5638 0.2500 0.1097
Er 0.5819 0.2500 0.5979
Er 0.9181 0.7500 0.0979
Er 0.9362 0.7500 0.6097
Se 0.0258 0.7500 0.7840
Se 0.0899 0.2500 0.5784
Se 0.1309 0.7500 0.0293
Se 0.2059 0.7500 0.3287
Se 0.2941 0.2500 0.8287
Se 0.3691 0.2500 0.5293
Se 0.4101 0.7500 0.0784
Se 0.4742 0.2500 0.2840
Se 0.5258 0.7500 0.7160
Se 0.5899 0.2500 0.9216
Se 0.6309 0.7500 0.4707
Se 0.7059 0.7500 0.1713
Se 0.7941 0.2500 0.6713
Se 0.8691 0.2500 0.9707
Se 0.9101 0.7500 0.4216
Se 0.9742 0.2500 0.2160
```

Properties
For the density of states at the Fermi level, the calculation gives 0.000 states/eV per atom. As for the volume: 738 Å³/cell. The calculation puts the spin magnetization at 0.0 μB per cell. The value obtained for the uncorrected formation energy is -2.20 eV per atom.

# 8
VASP calculation (meta-GGA SCAN) on a PBEsol-optimized structure of Er5Si4. Values from VASP.

Structure (Quantum ESPRESSO input):
```
&SYSTEM
  ibrav = 0, nat = 36, ntyp = 2
/
ATOMIC_SPECIES
Er 167.26 Er.upf
Si 28.09 Si.upf
CELL_PARAMETERS angstrom
7.2602 0.0000 0.0000
0.0000 14.2435 0.0000
0.0000 0.0000 7.5337
ATOMIC_POSITIONS crystal
Er 0.0247 0.0975 0.1819
Er 0.0247 0.4025 0.1819
Er 0.1512 0.7500 0.5108
Er 0.1792 0.1236 0.6793
Er 0.1792 0.3764 0.6793
Er 0.3208 0.6236 0.1793
Er 0.3208 0.8764 0.1793
Er 0.3488 0.2500 0.0108
Er 0.4753 0.5975 0.6819
Er 0.4753 0.9025 0.6819
Er 0.5247 0.0975 0.3181
Er 0.5247 0.4025 0.3181
Er 0.6512 0.7500 0.9892
Er 0.6792 0.1236 0.8207
Er 0.6792 0.3764 0.8207
Er 0.8208 0.6236 0.3207
Er 0.8208 0.8764 0.3207
Er 0.8488 0.2500 0.4892
Er 0.9753 0.5975 0.8181
Er 0.9753 0.9025 0.8181
Si 0.0235 0.7500 0.1028
Si 0.1500 0.5398 0.4708
Si 0.1500 0.9602 0.4708
Si 0.2298 0.2500 0.3708
Si 0.2702 0.7500 0.8708
Si 0.3500 0.0398 0.9708
Si 0.3500 0.4602 0.9708
Si 0.4765 0.2500 0.6028
Si 0.5235 0.7500 0.3972
Si 0.6500 0.5398 0.0292
Si 0.6500 0.9602 0.0292
Si 0.7298 0.2500 0.1292
Si 0.7702 0.7500 0.6292
Si 0.8500 0.0398 0.5292
Si 0.8500 0.4602 0.5292
Si 0.9765 0.2500 0.8972
```

Properties
For the density of states at the Fermi level, the calculation gives 0.821 states/eV per atom. As for the volume: 779 Å³/cell. The calculation puts the spin magnetization at 0.0 μB per cell. The value obtained for the uncorrected formation energy is -0.78 eV per atom.

# 9
VASP calculation (meta-GGA SCAN) on a PBEsol-optimized structure of Er2Ti3Si4. Values from VASP.

Structure (Quantum ESPRESSO input):
```
&SYSTEM
  ibrav = 0, nat = 36, ntyp = 3
/
ATOMIC_SPECIES
Er 167.26 Er.upf
Ti 47.87 Ti.upf
Si 28.09 Si.upf
CELL_PARAMETERS angstrom
6.9433 0.0000 0.0000
0.0000 6.9433 0.0000
0.0000 0.0000 12.7639
ATOMIC_POSITIONS crystal
Er 0.0024 0.3398 0.0333
Er 0.1602 0.5024 0.2833
Er 0.3398 0.0024 0.9667
Er 0.4976 0.8398 0.2167
Er 0.5024 0.1602 0.7167
Er 0.6602 0.9976 0.4667
Er 0.8398 0.4976 0.7833
Er 0.9976 0.6602 0.5333
Ti 0.0067 0.1521 0.6237
Ti 0.1521 0.0067 0.3763
Ti 0.1722 0.8278 0.7500
Ti 0.3278 0.3278 0.5000
Ti 0.3479 0.5067 0.8737
Ti 0.4933 0.6521 0.6263
Ti 0.5067 0.3479 0.1263
Ti 0.6521 0.4933 0.3737
Ti 0.6722 0.6722 0.0000
Ti 0.8278 0.1722 0.2500
Ti 0.8479 0.9933 0.8763
Ti 0.9933 0.8479 0.1237
Si 0.0457 0.7076 0.9349
Si 0.1317 0.2031 0.8163
Si 0.2031 0.1317 0.1837
Si 0.2076 0.4543 0.6849
Si 0.2924 0.9543 0.5651
Si 0.2969 0.6317 0.0663
Si 0.3683 0.7031 0.4337
Si 0.4543 0.2076 0.3151
Si 0.5457 0.7924 0.8151
Si 0.6317 0.2969 0.9337
Si 0.7031 0.3683 0.5663
Si 0.7076 0.0457 0.0651
Si 0.7924 0.5457 0.1849
Si 0.7969 0.8683 0.6837
Si 0.8683 0.7969 0.3163
Si 0.9543 0.2924 0.4349
```

Properties
For the density of states at the Fermi level, the calculation gives 0.767 states/eV per atom. As for the volume: 615 Å³/cell. The calculation puts the spin magnetization at 0.0 μB per cell. The value obtained for the uncorrected formation energy is -0.84 eV per atom.

# 10
VASP calculation (meta-GGA SCAN) on a PBEsol-optimized structure of SmEr3. Values from VASP.

Structure (Quantum ESPRESSO input):
```
&SYSTEM
  ibrav = 0, nat = 8, ntyp = 2
/
ATOMIC_SPECIES
Sm 150.36 Sm.upf
Er 167.26 Er.upf
CELL_PARAMETERS angstrom
7.0537 0.0000 0.0000
-3.5269 6.1087 0.0000
0.0000 0.0000 5.5297
ATOMIC_POSITIONS crystal
Sm 0.3333 0.6667 0.2500
Sm 0.6667 0.3333 0.7500
Er 0.1659 0.3318 0.7500
Er 0.1659 0.8341 0.7500
Er 0.3318 0.1659 0.2500
Er 0.6682 0.8341 0.7500
Er 0.8341 0.1659 0.2500
Er 0.8341 0.6682 0.2500
```

Properties
For the density of states at the Fermi level, the calculation gives 1.562 states/eV per atom. The offset from the most stable computed form is 0 meV/atom. As for the volume: 238 Å³/cell. The calculation puts the spin magnetization at 0.0 μB per cell. For the energy of formation, the calculation gives 0.9 kJ per mole of atoms.

# 11
VASP calculation (meta-GGA SCAN) on a PBEsol-optimized structure of SmEr3. Values from VASP.

Structure (Quantum ESPRESSO input):
```
&SYSTEM
  ibrav = 0, nat = 4, ntyp = 2
/
ATOMIC_SPECIES
Sm 150.36 Sm.upf
Er 167.26 Er.upf
CELL_PARAMETERS angstrom
-2.4483 2.4483 4.8868
2.4483 -2.4483 4.8868
2.4483 2.4483 -4.8868
ATOMIC_POSITIONS crystal
Sm 0.0000 0.0000 0.0000
Er 0.2500 0.7500 0.5000
Er 0.5000 0.5000 0.0000
Er 0.7500 0.2500 0.5000
```

Properties
For the density of states at the Fermi level, the calculation gives 1.226 states/eV per atom. The offset from the most stable computed form is 14 meV/atom. As for the volume: 117 Å³/cell. The calculation puts the spin magnetization at 0.0 μB per cell. For the energy of formation, the calculation gives 2.2 kJ per mole of atoms.

# 12
VASP calculation (meta-GGA SCAN) on a PBEsol-optimized structure of SmErTl2. Values from VASP.

Structure (Quantum ESPRESSO input):
```
&SYSTEM
  ibrav = 0, nat = 4, ntyp = 3
/
ATOMIC_SPECIES
Sm 150.36 Sm.upf
Er 167.26 Er.upf
Tl 204.38 Tl.upf
CELL_PARAMETERS angstrom
0.0000 3.7420 3.7420
3.7420 0.0000 3.7420
3.7420 3.7420 0.0000
ATOMIC_POSITIONS crystal
Sm 0.0000 0.0000 0.0000
Er 0.5000 0.5000 0.5000
Tl 0.2500 0.2500 0.2500
Tl 0.7500 0.7500 0.7500
```

Properties
For the density of states at the Fermi level, the calculation gives 0.765 states/eV per atom. As for the volume: 105 Å³/cell. The calculation puts the spin magnetization at 0.0 μB per cell. For the energy of formation, the calculation gives -51.9 kJ per mole of atoms.